(1)
Density functional theory data (PBE) for a geometry-optimized Tb5Sm12Tm structure.

DOS at the Fermi energy: 25.7 states/eV/f.u.
space-group type: P2/m
raw total energy: -84.0 eV per cell
energy of formation: 16 meV per atom

```
18
Lattice="10.792 0.000 0.000 0.000 5.094 0.000 -0.007 0.000 10.804" Properties=species:S:1:pos:R:3 pbc="T T T"
Tb 0.000 0.000 0.000
Tb 1.793 2.547 9.002
Tb 3.597 0.000 7.197
Tb 7.187 0.000 3.607
Tb 8.991 2.547 1.802
Sm 0.004 0.000 7.208
Sm 1.791 2.547 1.795
Sm 1.810 2.547 5.411
Sm 3.583 0.000 10.795
Sm 3.610 0.000 3.616
Sm 5.381 2.547 8.988
Sm 5.403 2.547 1.816
Sm 7.174 0.000 7.188
Sm 7.201 0.000 0.009
Sm 8.974 2.547 5.393
Sm 8.993 2.547 9.009
Sm 10.780 0.000 3.596
Tm 5.392 2.547 5.402
```

***

(2)
Density functional theory data (PBE) for a geometry-optimized Tb3Sm2Tm7 structure.

DOS at the Fermi energy: 17.6 states/eV/f.u.
space-group type: P2/m
raw total energy: -53.6 eV per cell
energy of formation: 86 meV per atom
energy above the lowest structure with this stoichiometry: 0 meV/atom

```
12
Lattice="6.277 0.000 0.000 0.000 3.492 0.000 -1.880 0.000 17.200" Properties=species:S:1:pos:R:3 pbc="T T T"
Tb 0.000 0.000 0.000
Tb -0.931 1.746 11.312
Tb 5.328 1.746 5.888
Sm 2.152 0.000 5.601
Sm 2.244 0.000 11.599
Tm 1.109 1.746 2.811
Tm 0.597 0.000 8.612
Tm 0.150 0.000 14.350
Tm 3.139 1.746 0.000
Tm 4.246 0.000 2.850
Tm 3.800 0.000 8.588
Tm 3.288 1.746 14.389
```

***

(3)
Density functional theory data (PBE) for a geometry-optimized Tb3Sm5Tm3 structure.

DOS at the Fermi energy: 16.0 states/eV/f.u.
space-group type: P-62m
raw total energy: -47.3 eV per cell
energy of formation: 331 meV per atom
energy above the lowest structure with this stoichiometry: 0 meV/atom

```
11
Lattice="11.193 0.000 0.000 -5.596 9.693 0.000 0.000 0.000 3.437" Properties=species:S:1:pos:R:3 pbc="T T T"
Tb -3.334 5.775 0.000
Tb 2.262 3.919 0.000
Tb 6.668 0.000 0.000
Sm -1.894 3.280 1.718
Sm 0.000 6.462 1.718
Sm 3.788 0.000 1.718
Sm 3.703 6.413 1.718
Sm 5.596 3.231 1.718
Tm -4.706 8.150 1.718
Tm 0.891 1.543 1.718
Tm 9.411 0.000 1.718
```